Record 1
A plane-wave DFT calculation with PBE-GGA was carried out for a geometry-optimized TaFeBr2 structure.

Unit cell a=3.1724 b=3.1724 c=30.4703 alpha=90.00 beta=90.00 gamma=120.00
Closest atoms and distances in Å follow each position.
Space group R-3m (No. 166, hexagonal axes)
Symmetry-distinct sites (fractional):
1 Ta 0.0000 0.0000 0.0000 [3 per cell]  6 Br 2.68
2 Fe 0.0000 0.0000 0.5000 [3 per cell]  6 Fe 3.17
3 Br 0.0000 0.0000 0.2691 [6 per cell]  3 Ta 2.68

Magnetic moment   3.03 μB per formula unit
Excess energy over the best structure of this formula in the dataset   444 meV per atom

Record 2
A plane-wave DFT calculation with PBE-GGA was carried out for a geometry-optimized KBa2Rh structure.

Unit cell a=13.9112 b=4.2377 c=7.7063 alpha=90.00 beta=119.61 gamma=90.00
Closest atoms and distances in Å follow each position.
Space group Cm (No. 8)
Symmetry-distinct sites (fractional):
1 K 0.0000 0.0000 0.0000 [2 per cell]  3 Rh 3.63-4.01
2 Ba 0.1621 0.5000 0.6917 [2 per cell]  2 Rh 2.99
3 Ba 0.3209 0.5000 0.2920 [2 per cell]  2 Rh 2.98
4 Rh 0.2870 0.0000 0.9953 [2 per cell]  4 Ba 2.98-2.99

Magnetic moment   0.00 μB per formula unit
Excess energy over the best structure of this formula in the dataset   182 meV per atom
Formation energy   0.070 eV per atom

Record 3
A plane-wave DFT calculation with PBE-GGA was carried out for a geometry-optimized TbPr3 structure.

Unit cell a=3.7046 b=5.9688 c=6.4068 alpha=90.00 beta=90.00 gamma=90.00
Closest atoms and distances in Å follow each position.
Space group Pmm2 (No. 25)
Symmetry-distinct sites (fractional):
1 Tb 0.0000 0.0000 0.0000 [1 per cell]  10 Pr 3.66-3.71, 2 Tb 3.70
2 Pr 0.0000 0.5000 0.3318 [1 per cell]  2 Tb 3.66, 10 Pr 3.67-3.70
3 Pr 0.5000 0.0000 0.4987 [1 per cell]  8 Pr 3.67-3.70, 4 Tb 3.69-3.71
4 Pr 0.5000 0.5000 0.8323 [1 per cell]  8 Pr 3.67-3.70, 4 Tb 3.67

Magnetic moment   0.00 μB per formula unit
Excess energy over the best structure of this formula in the dataset   21 meV per atom
Formation energy   0.035 eV per atom

Record 4
A plane-wave DFT calculation with PBE-GGA was carried out for a geometry-optimized PaSbPtRh structure.

Unit cell a=6.8485 b=6.8485 c=6.8485 alpha=90.00 beta=90.00 gamma=90.00
Closest atoms and distances in Å follow each position.
Space group F-43m (No. 216)
Symmetry-distinct sites (fractional):
1 Pa 0.0000 0.0000 0.0000 [4 per cell]  4 Pt 2.97, 4 Rh 2.97
2 Sb 0.0000 0.0000 0.5000 [4 per cell]  4 Rh 2.97, 4 Pt 2.97
3 Pt 0.2500 0.2500 0.7500 [4 per cell]  4 Sb 2.97, 4 Pa 2.97
4 Rh 0.2500 0.2500 0.2500 [4 per cell]  4 Pa 2.97, 4 Sb 2.97

Uncorrected energy   -7.38 eV/atom
Magnetic moment   0.00 μB per formula unit

Q: Look up the magnetic moment of the first one.
A: 3.03 μB per formula unit

Q: Among the records above, which one has the highest magnetic moment?
A: TaFeBr2